Entry from the Alexandria database: a PBEsol-optimized structure of NbSe2BrN (SCAN).

CIF file:
```
data_NbSe2BrN
_chemical_formula_sum 'Nb1 Se2 Br1 N1'
_cell_length_a 4.374
_cell_length_b 4.374
_cell_length_c 4.404
_cell_angle_alpha 90.00
_cell_angle_beta 90.00
_cell_angle_gamma 90.00
_symmetry_space_group_name_H-M 'P 4/m m m'
_symmetry_Int_Tables_number 123
_symmetry_space_group_name_Hall '-P 4 2'
loop_
_atom_site_label
_atom_site_type_symbol
_atom_site_fract_x
_atom_site_fract_y
_atom_site_fract_z
_atom_site_occupancy
Nb1 Nb 0.000 0.000 0.000 1
Se1 Se 0.000 0.500 0.500 1
Br1 Br 0.500 0.500 0.000 1
N1 N 0.500 0.500 0.500 1
```

## Properties
For the total magnetization, the calculation gives 2.174 μB per cell. The electronic total energy is -19.4893 eV/atom. The crystal system is tetragonal. For the volume, the calculation gives 84.3 Å³ per cell. As for the raw formation energy: 4.59 eV per formula unit. The density of states at the Fermi level comes out at 2.05 states/eV per cell.